A plane-wave DFT calculation with PBE was carried out for a relaxed structure of NdScCu2Si2.

Computed properties:
volume = 107.7 Å³/cell
raw formation energy = -62.7 kJ per mole of atoms

a = 4.1634 Å, b = 4.1634 Å, c = 7.1767 Å
α = 90.00°, β = 90.00°, γ = 120.00°
Space group P-3m1 (No. 164)
Inequivalent atoms, fractional coordinates:
Nd: 0.0000 0.0000 0.0000 [1 per cell]
Sc: 0.0000 0.0000 0.5000 [1 per cell]
Cu: 0.3333 0.6667 0.6974 [2 per cell]
Si: 0.3333 0.6667 0.2789 [2 per cell]